(1)
Here is crystalline LaHgCl3 at its relaxed geometry from Alexandria. Energies are from GGA-PBE.

Unit cell a=5.3830 b=5.3830 c=5.3830 alpha=90.00 beta=90.00 gamma=90.00
Space group Pm-3m (No. 221)
Inequivalent atoms, fractional coordinates:
La  0.0000  0.0000  0.0000 [1 per cell]
Hg  0.5000  0.5000  0.5000 [1 per cell]
Cl  0.0000  0.5000  0.5000 [3 per cell]

Energy relative to the elements, uncorrected = -657 meV/atom
Total energy = -2.81 eV/atom

(2)
Here is crystalline CuAg2Rh at its relaxed geometry from Alexandria. Energies are from GGA-PBE.

Unit cell a=2.9044 b=4.6148 c=9.2929 alpha=90.00 beta=90.00 gamma=90.00
Space group Immm (No. 71)
Inequivalent atoms, fractional coordinates:
Cu  0.0000  0.0000  0.0000 [2 per cell]
Ag  0.0000  0.5000  0.2624 [4 per cell]
Rh  0.0000  0.0000  0.5000 [2 per cell]

Energy of formation = 224 meV/atom
Total energy = -4.06 eV/atom

(3)
Here is crystalline KCePuS4 at its relaxed geometry from Alexandria. Energies are from GGA-PBE.

Unit cell a=8.3890 b=8.5243 c=11.9738 alpha=90.00 beta=90.00 gamma=90.00
Space group Imma (No. 74)
Inequivalent atoms, fractional coordinates:
K  0.0000  0.2500  0.1282 [4 per cell]
Ce  0.0000  0.0000  0.5000 [4 per cell]
Pu  0.2500  0.2500  0.7500 [4 per cell]
S  0.0000  0.0428  0.7310 [8 per cell]
S  0.2116  0.2500  0.5206 [8 per cell]

Energy relative to the elements, uncorrected = -1645 meV/atom
Total energy = -7.06 eV/atom

(4)
Here is crystalline PrMgSn at its relaxed geometry from Alexandria. Energies are from GGA-PBE.

Unit cell a=7.7282 b=4.6701 c=9.1560 alpha=90.00 beta=90.00 gamma=90.00
Space group Pnma (No. 62)
Inequivalent atoms, fractional coordinates:
Pr  0.0201  0.2500  0.1834 [4 per cell]
Mg  0.1559  0.2500  0.5683 [4 per cell]
Sn  0.2297  0.7500  0.3883 [4 per cell]

Energy of formation = -593 meV/atom
Total energy = -4.05 eV/atom

(5)
Here is crystalline CoBiAu3 at its relaxed geometry from Alexandria. Energies are from GGA-PBE.

Unit cell a=4.8176 b=4.8176 c=4.8176 alpha=90.00 beta=90.00 gamma=90.00
Space group Pm-3m (No. 221)
Inequivalent atoms, fractional coordinates:
Co  0.0000  0.0000  0.0000 [1 per cell]
Bi  0.5000  0.5000  0.5000 [1 per cell]
Au  0.0000  0.0000  0.5000 [3 per cell]

Energy of formation = 546 meV/atom
Total energy = -3.62 eV/atom

(6)
Here is crystalline CdNiAsSe2 at its relaxed geometry from Alexandria. Energies are from GGA-PBE.

Unit cell a=5.2246 b=5.2246 c=5.0613 alpha=90.00 beta=90.00 gamma=90.00
Space group P4/mmm (No. 123)
Inequivalent atoms, fractional coordinates:
Cd  0.0000  0.0000  0.0000 [1 per cell]
Ni  0.5000  0.5000  0.5000 [1 per cell]
As  0.0000  0.0000  0.5000 [1 per cell]
Se  0.0000  0.5000  0.0000 [2 per cell]

Energy relative to the elements, uncorrected = 1179 meV/atom
Total energy = -2.48 eV/atom

(7)
Here is crystalline Ac6TcO12 at its relaxed geometry from Alexandria. Energies are from GGA-PBE.

Unit cell a=10.6670 b=10.6670 c=10.2847 alpha=90.00 beta=90.00 gamma=120.00
Space group R-3 (No. 148, hexagonal axes)
Inequivalent atoms, fractional coordinates:
Ac  0.0494  0.2560  0.1507 [18 per cell]
Tc  0.0000  0.0000  0.5000 [3 per cell]
O  0.0390  0.1724  0.3961 [18 per cell]
O  0.0401  0.2287  0.9060 [18 per cell]

Energy relative to the elements, uncorrected = -2954 meV/atom
Total energy = -7.93 eV/atom

(8)
Here is crystalline NaSeBr4 at its relaxed geometry from Alexandria. Energies are from GGA-PBE.

Unit cell a=4.3741 b=6.8348 c=7.1772 alpha=101.71 beta=91.54 gamma=99.05
Space group P-1 (No. 2)
Inequivalent atoms, fractional coordinates:
Na  0.0000  0.0000  0.0000 [1 per cell]
Se  0.5000  0.0000  0.5000 [1 per cell]
Br  0.1618  0.2373  0.4006 [2 per cell]
Br  0.4425  0.7755  0.1576 [2 per cell]

Energy relative to the elements, uncorrected = -563 meV/atom
Total energy = -2.48 eV/atom